5
Lattice="4.6083 0.0000 0.0000 0.0000 4.6083 0.0000 0.0000 0.0000 4.6083" Properties=species:S:1:pos:R:3 comment="PBE PaGeIr3, relaxed" ef_ev_per_atom=0.23 sg="No. 221" pbc="T T T"
Pa 0.0000 0.0000 0.0000
Ge 2.3041 2.3041 2.3041
Ir 0.0000 2.3041 2.3041
Ir 2.3041 0.0000 2.3041
Ir 2.3041 2.3041 0.0000

---

4
Lattice="1.8656 1.0771 10.5488 -1.8656 1.0771 10.5488 0.0000 -2.1543 10.5488" Properties=species:S:1:pos:R:3 comment="PBE NdSm2Br, relaxed" raw_formation_energy_ev_per_atom=-0.520 relative_energy_mev_per_atom=0 sg="No. 160" pbc="T T T"
Nd 0.0000 0.0000 0.0000
Sm 0.0000 0.0000 7.6131
Sm 0.0000 0.0000 13.4713
Br 0.0000 0.0000 26.3684

---

18
Lattice="6.4727 0.0000 0.0000 0.0000 6.4727 0.0000 0.0000 0.0000 5.5131" Properties=species:S:1:pos:R:3 comment="PBE LiY2CuO5, relaxed" raw_formation_energy_ev_per_atom=-2.282 sg="No. 127" pbc="T T T"
Li 0.0000 0.0000 0.0000
Li 3.2363 3.2363 0.0000
Y 1.1401 2.0963 2.7566
Y 2.0963 5.3326 2.7566
Y 4.3764 1.1401 2.7566
Y 5.3326 4.3764 2.7566
Cu 0.0000 3.2363 0.0000
Cu 3.2363 0.0000 0.0000
O 0.0000 0.0000 2.7566
O 0.8709 4.1073 1.3408
O 0.8709 4.1073 4.1723
O 2.3654 0.8709 1.3408
O 2.3654 0.8709 4.1723
O 3.2363 3.2363 2.7566
O 4.1073 5.6017 1.3408
O 4.1073 5.6017 4.1723
O 5.6017 2.3654 1.3408
O 5.6017 2.3654 4.1723

---

4
Lattice="3.6031 0.0000 0.0000 0.0000 3.6031 0.0000 0.0000 0.0000 8.5565" Properties=species:S:1:pos:R:3 comment="PBE SmTh2Mo, relaxed" ef_ev_per_atom=0.17 relative_energy_mev_per_atom=0 sg="No. 123" pbc="T T T"
Sm 0.0000 0.0000 0.0000
Th 1.8016 1.8016 2.5058
Th 1.8016 1.8016 6.0507
Mo 0.0000 0.0000 4.2782

---

10
Lattice="-2.9803 3.3193 4.3839 2.9803 -3.3193 4.3839 2.9803 3.3193 -4.3839" Properties=species:S:1:pos:R:3 comment="PBE Rb2SmMgF6, relaxed" raw_formation_energy_ev_per_atom=-3.128 sg="No. 71" pbc="T T T"
Rb 0.0000 0.0000 2.1116
Rb 0.0000 0.0000 6.6562
Sm 0.0000 3.3193 0.0000
Mg 2.9803 0.0000 0.0000
F 1.4716 1.4035 0.0000
F 4.4889 1.4035 0.0000
F 2.9803 0.0000 2.0861
F 0.0000 3.3193 2.2979
F -1.5086 1.9158 4.3839
F 1.5086 1.9158 4.3839

---

5
Lattice="4.0394 0.0000 0.0000 0.0000 4.0394 0.0000 0.0000 0.0000 5.0827" Properties=species:S:1:pos:R:3 comment="PBE TcNi2AsS, relaxed" raw_formation_energy_ev_per_atom=0.662 relative_energy_mev_per_atom=0 sg="No. 123" pbc="T T T"
Tc 0.0000 0.0000 0.0000
Ni 0.0000 2.0197 2.5413
Ni 2.0197 0.0000 2.5413
As 2.0197 2.0197 0.0000
S 2.0197 2.0197 2.5413